No. 1
VASP calculation (PBE-GGA) on crystalline Ca2Pr2Nd7 at its relaxed geometry.

Properties
* DFT formation energy: 0.20 eV/atom

abc: 11.1630 8.8627 8.4940
angles: 90.00 104.16 90.00
Closest atoms and distances in Å follow each position.
Space group C2/m (No. 12)
Inequivalent atoms, fractional coordinates:
Ca (0.0540, 0.0000, 0.3193) (multiplicity 4)  7 Nd 3.42-3.66, 1 Ca 3.56, 2 Pr 3.65
Pr (0.0000, 0.2859, 0.0000) (multiplicity 4)  6 Nd 3.55-3.66, 2 Ca 3.65, 1 Pr 3.80
Nd (0.0000, 0.5000, 0.5000) (multiplicity 2)  10 Nd 3.75-4.15
Nd (0.2252, 0.1960, 0.6840) (multiplicity 8)  5 Nd 3.44-3.75, 1 Pr 3.55, 3 Ca 3.56-3.66
Nd (0.2430, 0.0000, 0.0571) (multiplicity 4)  1 Ca 3.42, 4 Nd 3.44-3.58, 4 Pr 3.57-3.66



No. 2
VASP calculation (PBE-GGA) on crystalline CaPr12Nd6 at its relaxed geometry.

Properties
* DFT formation energy: 0.17 eV/atom

abc: 13.7922 13.7922 12.9680
angles: 90.00 90.00 120.00
Closest atoms and distances in Å follow each position.
Space group R-3m (No. 166, hexagonal axes)
Inequivalent atoms, fractional coordinates:
Ca (0.0000, 0.0000, 0.0000) (multiplicity 3)  6 Nd 3.55
Pr (0.0000, 0.2609, 0.5000) (multiplicity 18)  6 Pr 3.47-3.66, 4 Nd 3.60-3.66
Pr (0.0906, 0.1813, 0.2657) (multiplicity 18)  6 Pr 3.47-3.75, 2 Nd 3.88
Nd (0.0411, 0.5205, 0.6165) (multiplicity 18)  1 Nd 3.18, 1 Ca 3.55



No. 3
VASP calculation (PBE-GGA) on crystalline CaPr4Nd2 at its relaxed geometry.

Properties
* DFT formation energy: 0.02 eV/atom

abc: 3.7177 3.7177 64.2730
angles: 90.00 90.00 120.00
Closest atoms and distances in Å follow each position.
Space group R-3m (No. 166, hexagonal axes)
Inequivalent atoms, fractional coordinates:
Ca (0.0000, 0.0000, 0.0000) (multiplicity 3)  6 Ca 3.72, 6 Pr 3.87
Pr (0.0000, 0.0000, 0.1432) (multiplicity 6)  9 Pr 3.71-3.72, 3 Nd 3.72
Pr (0.0000, 0.0000, 0.2833) (multiplicity 6)  3 Nd 3.64, 6 Pr 3.72, 3 Ca 3.87
Nd (0.0000, 0.0000, 0.4292) (multiplicity 6)  6 Pr 3.64-3.72, 6 Nd 3.72



No. 4
VASP calculation (PBE-GGA) on crystalline CaPrNd6 at its relaxed geometry.

Properties
* DFT formation energy: 0.04 eV/atom

abc: 5.2488 5.2488 10.4361
angles: 90.00 90.00 90.00
Closest atoms and distances in Å follow each position.
Space group P4/mmm (No. 123)
Inequivalent atoms, fractional coordinates:
Ca (0.0000, 0.0000, 0.0000) (multiplicity 1)  12 Nd 3.71-3.74
Pr (0.0000, 0.0000, 0.5000) (multiplicity 1)  12 Nd 3.66-3.71
Nd (0.0000, 0.5000, 0.2554) (multiplicity 4)  2 Pr 3.66, 8 Nd 3.66-3.74, 2 Ca 3.74
Nd (0.5000, 0.5000, 0.0000) (multiplicity 1)  4 Ca 3.71, 8 Nd 3.74
Nd (0.5000, 0.5000, 0.5000) (multiplicity 1)  8 Nd 3.66, 4 Pr 3.71



No. 5
VASP calculation (PBE-GGA) on crystalline CaPr7Nd3 at its relaxed geometry.

Properties
* E above lowest polymorph: 20 meV/atom
* DFT formation energy: 0.21 eV/atom

abc: 12.0255 10.4148 6.6833
angles: 90.00 94.54 90.00
Closest atoms and distances in Å follow each position.
Space group C2/m (No. 12)
Inequivalent atoms, fractional coordinates:
Ca (0.0000, 0.0000, 0.0000) (multiplicity 2)  4 Pr 3.34-3.61
Pr (0.0000, 0.0000, 0.5000) (multiplicity 2)  2 Ca 3.34, 2 Nd 3.43, 2 Pr 3.59
Pr (0.2341, 0.5000, 0.7085) (multiplicity 4)  5 Pr 3.43-3.61, 3 Nd 3.52-3.55, 1 Ca 3.61
Pr (0.2451, 0.1726, 0.7559) (multiplicity 8)  6 Pr 3.43-3.79, 3 Nd 3.63-3.81
Nd (0.0000, 0.3297, 0.5000) (multiplicity 4)  7 Pr 3.43-3.67, 3 Nd 3.55-3.78
Nd (0.0000, 0.5000, 0.0000) (multiplicity 2)  6 Pr 3.55-3.81, 4 Nd 3.78



No. 6
VASP calculation (PBE-GGA) on crystalline CaPr7Nd4 at its relaxed geometry.

Properties
* E above lowest polymorph: 0 meV/atom
* DFT formation energy: 0.02 eV/atom

abc: 6.4234 7.4334 9.8289
angles: 79.27 71.04 89.90
Closest atoms and distances in Å follow each position.
Space group P-1 (No. 2)
Inequivalent atoms, fractional coordinates:
Ca (0.0000, 0.0000, 0.0000) (multiplicity 1)  10 Pr 3.72-3.77, 2 Nd 3.76
Pr (0.0000, 0.5000, 0.0000) (multiplicity 1)  6 Pr 3.68-3.73, 4 Nd 3.72-3.74, 2 Ca 3.72
Pr (0.0015, 0.6630, 0.3366) (multiplicity 2)  5 Pr 3.64-3.77, 6 Nd 3.65-3.76, 1 Ca 3.76
Pr (0.4923, 0.9165, 0.3376) (multiplicity 2)  6 Nd 3.66-3.77, 5 Pr 3.66-3.77, 1 Ca 3.77
Pr (0.4990, 0.2569, 0.0003) (multiplicity 2)  7 Pr 3.61-3.82, 3 Nd 3.68-3.73, 2 Ca 3.73-3.74
Nd (0.0018, 0.1688, 0.3367) (multiplicity 2)  8 Pr 3.65-3.77, 3 Nd 3.68-3.71, 1 Ca 3.76
Nd (0.4988, 0.5841, 0.6670) (multiplicity 2)  9 Pr 3.68-3.73, 3 Nd 3.69-3.72



No. 7
VASP calculation (PBE-GGA) on crystalline CaPr7Nd4 at its relaxed geometry.

Properties
* E above lowest polymorph: 222 meV/atom
* DFT formation energy: 0.24 eV/atom

abc: 12.4095 6.2529 13.0579
angles: 90.00 118.27 90.00
Closest atoms and distances in Å follow each position.
Space group C2/m (No. 12)
Inequivalent atoms, fractional coordinates:
Ca (0.0000, 0.0000, 0.0000) (multiplicity 2)  4 Pr 3.13-3.30
Pr (0.0000, 0.5000, 0.0000) (multiplicity 2)  2 Ca 3.13, 2 Pr 3.17
Pr (0.1300, 0.0000, 0.4997) (multiplicity 4)  2 Pr 3.23-3.42, 3 Nd 3.37-3.57
Pr (0.2049, 0.5000, 0.9208) (multiplicity 4)  2 Pr 3.17-3.40, 1 Ca 3.30, 4 Nd 3.36-3.54
Pr (0.2333, 0.5000, 0.6741) (multiplicity 4)  4 Pr 3.40-3.72, 3 Nd 3.73-3.81
Nd (0.0657, 0.5000, 0.3231) (multiplicity 4)  5 Pr 3.36-3.74
Nd (0.1378, 0.0000, 0.7768) (multiplicity 4)  7 Pr 3.48-3.81, 2 Nd 3.84



No. 8
VASP calculation (PBE-GGA) on crystalline Ca2PrNd8 at its relaxed geometry.

Properties
* DFT formation energy: 0.17 eV/atom

abc: 12.4694 7.1854 9.2244
angles: 90.00 102.21 90.00
Closest atoms and distances in Å follow each position.
Space group C2/m (No. 12)
Inequivalent atoms, fractional coordinates:
Ca (0.1758, 0.0000, 0.1757) (multiplicity 4)  10 Nd 3.46-3.79
Pr (0.0000, 0.0000, 0.5000) (multiplicity 2)  4 Nd 3.55
Nd (0.0557, 0.2733, 0.8283) (multiplicity 8)  3 Nd 3.26-3.61, 1 Ca 3.48, 1 Pr 3.55
Nd (0.1396, 0.5000, 0.4861) (multiplicity 4)  4 Nd 3.35-3.74, 1 Ca 3.46
Nd (0.2111, 0.5000, 0.1555) (multiplicity 4)  7 Nd 3.35-3.74, 3 Ca 3.63



No. 9
VASP calculation (PBE-GGA) on crystalline CaPrNd2 at its relaxed geometry.

Properties
* E above lowest polymorph: 34 meV/atom
* DFT formation energy: 0.07 eV/atom

abc: 5.2375 5.2375 5.2850
angles: 90.00 90.00 90.00
Closest atoms and distances in Å follow each position.
Space group P4/mmm (No. 123)
Inequivalent atoms, fractional coordinates:
Ca (0.0000, 0.0000, 0.0000) (multiplicity 1)  4 Pr 3.70, 8 Nd 3.72
Pr (0.5000, 0.5000, 0.0000) (multiplicity 1)  4 Ca 3.70, 8 Nd 3.72
Nd (0.0000, 0.5000, 0.5000) (multiplicity 2)  4 Nd 3.70, 4 Pr 3.72, 4 Ca 3.72



No. 10
VASP calculation (PBE-GGA) on crystalline CaPr5Nd2 at its relaxed geometry.

Properties
* DFT formation energy: 0.23 eV/atom

abc: 13.3305 16.2346 6.2284
angles: 90.00 117.66 90.00
Closest atoms and distances in Å follow each position.
Space group C2/c (No. 15)
Inequivalent atoms, fractional coordinates:
Ca (0.0000, 0.1522, 0.2500) (multiplicity 4)  12 Pr 3.69-4.04
Pr (0.0000, 0.2949, 0.7500) (multiplicity 4)  2 Nd 3.04
Pr (0.1684, 0.0536, 0.9196) (multiplicity 8)  1 Nd 3.33, 3 Pr 3.57-3.64
Pr (0.1876, 0.3555, 0.4372) (multiplicity 8)  4 Nd 3.58-3.63, 6 Pr 3.64-3.95, 2 Ca 3.69-3.98
Nd (0.0000, 0.5000, 0.0000) (multiplicity 4)  2 Nd 3.11
Nd (0.2500, 0.2500, 0.0000) (multiplicity 4)  4 Pr 3.04-3.33



No. 11
VASP calculation (PBE-GGA) on crystalline CaPr3Nd7 at its relaxed geometry.

Properties
* E above lowest polymorph: 0 meV/atom
* DFT formation energy: 0.19 eV/atom

abc: 7.3269 7.3269 8.9321
angles: 90.00 90.00 120.00
Closest atoms and distances in Å follow each position.
Space group P3m1 (No. 156)
Inequivalent atoms, fractional coordinates:
Ca (0.0000, 0.0000, 0.0000) (multiplicity 1)  9 Nd 3.66, 3 Pr 3.75
Pr (0.1693, 0.3386, 0.3441) (multiplicity 3)  5 Nd 3.60-3.68, 4 Pr 3.61-3.72, 1 Ca 3.75
Nd (0.0028, 0.5014, 0.0050) (multiplicity 3)  7 Nd 3.58-3.69, 2 Ca 3.66, 2 Pr 3.68
Nd (0.3333, 0.6667, 0.6808) (multiplicity 1)  9 Nd 3.58-3.67, 3 Pr 3.66
Nd (0.3376, 0.1688, 0.6682) (multiplicity 3)  2 Pr 3.60, 8 Nd 3.62-3.71, 1 Ca 3.66



No. 12
VASP calculation (PBE-GGA) on crystalline CaPr5Nd8 at its relaxed geometry.

Properties
* DFT formation energy: 0.22 eV/atom

abc: 9.9413 9.9413 10.4628
angles: 90.00 90.00 90.00
Closest atoms and distances in Å follow each position.
Space group I-4 (No. 82)
Inequivalent atoms, fractional coordinates:
Ca (0.0000, 0.0000, 0.0000) (multiplicity 2)  4 Nd 3.34
Pr (0.0000, 0.5000, 0.7500) (multiplicity 2)  8 Nd 3.22-3.47
Pr (0.1077, 0.7100, 0.3235) (multiplicity 8)  8 Nd 3.46-3.71, 2 Pr 3.66
Nd (0.0729, 0.8248, 0.6487) (multiplicity 8)  5 Pr 3.47-3.68, 3 Nd 3.74-3.77
Nd (0.0858, 0.6757, 0.9949) (multiplicity 8)  3 Pr 3.22-3.57, 1 Ca 3.34



No. 13
VASP calculation (PBE-GGA) on crystalline Ca3Pr6Nd at its relaxed geometry.

Properties
* DFT formation energy: 0.18 eV/atom

abc: 6.7338 6.7338 9.6471
angles: 90.00 90.00 120.00
Closest atoms and distances in Å follow each position.
Space group P-31m (No. 162)
Inequivalent atoms, fractional coordinates:
Ca (0.0000, 0.0000, 0.0000) (multiplicity 1)  6 Ca 3.89, 6 Pr 4.06
Ca (0.3333, 0.6667, 0.0000) (multiplicity 2)  6 Pr 3.69, 6 Ca 3.89
Pr (0.0000, 0.3972, 0.3173) (multiplicity 6)  1 Nd 3.20, 4 Pr 3.57
Nd (0.0000, 0.0000, 0.5000) (multiplicity 1)  6 Pr 3.20



No. 14
VASP calculation (PBE-GGA) on crystalline CaPr3Nd6 at its relaxed geometry.

Properties
* DFT formation energy: 0.24 eV/atom

abc: 10.1095 10.1095 12.2901
angles: 90.00 90.00 120.00
Closest atoms and distances in Å follow each position.
Space group R3 (No. 146, hexagonal axes)
Inequivalent atoms, fractional coordinates:
Ca (0.0000, 0.0000, 0.0000) (multiplicity 3)  2 Pr 3.11
Pr (0.0000, 0.0000, 0.2534) (multiplicity 3)  1 Pr 3.03, 1 Ca 3.11, 3 Nd 3.27
Pr (0.0000, 0.0000, 0.4998) (multiplicity 3)  2 Pr 3.03
Pr (0.0000, 0.0000, 0.7466) (multiplicity 3)  1 Pr 3.03, 1 Ca 3.11, 3 Nd 3.28
Nd (0.0013, 0.6767, 0.7531) (multiplicity 9)  2 Pr 3.28-3.57, 1 Ca 3.57
Nd (0.0100, 0.3423, 0.9145) (multiplicity 9)  2 Pr 3.27-3.57, 1 Ca 3.57



No. 15
VASP calculation (PBE-GGA) on crystalline CaPr4Nd at its relaxed geometry.

Properties
* E above lowest polymorph: 0 meV/atom
* DFT formation energy: 0.04 eV/atom

abc: 18.2984 3.7337 6.5055
angles: 90.00 96.62 90.00
Closest atoms and distances in Å follow each position.
Space group C2/m (No. 12)
Inequivalent atoms, fractional coordinates:
Ca (0.0000, 0.0000, 0.0000) (multiplicity 2)  2 Ca 3.73, 6 Pr 3.74-3.78, 4 Nd 3.75
Pr (0.1658, 0.0000, 0.3941) (multiplicity 4)  9 Pr 3.68-3.82, 2 Nd 3.69, 1 Ca 3.74
Pr (0.1703, 0.5000, 0.8838) (multiplicity 4)  9 Pr 3.64-3.82, 1 Nd 3.76, 2 Ca 3.78
Nd (0.0000, 0.5000, 0.5000) (multiplicity 2)  6 Pr 3.69-3.76, 2 Nd 3.73, 4 Ca 3.75



No. 16
VASP calculation (PBE-GGA) on crystalline CaPr4Nd at its relaxed geometry.

Properties
* E above lowest polymorph: 158 meV/atom
* DFT formation energy: 0.20 eV/atom

abc: 9.7390 9.7390 9.7390
angles: 90.00 90.00 90.00
Closest atoms and distances in Å follow each position.
Space group F-43m (No. 216)
Inequivalent atoms, fractional coordinates:
Ca (0.0000, 0.0000, 0.0000) (multiplicity 4)  12 Pr 4.04, 4 Nd 4.22
Pr (0.1237, 0.1237, 0.3763) (multiplicity 16)  6 Pr 3.41-3.48
Nd (0.2500, 0.2500, 0.7500) (multiplicity 4)  12 Pr 4.03, 4 Ca 4.22



No. 17
VASP calculation (PBE-GGA) on crystalline CaPrNdRu at its relaxed geometry.

Properties
* DFT formation energy: 0.15 eV/atom

abc: 7.5122 7.5122 7.5122
angles: 90.00 90.00 90.00
Closest atoms and distances in Å follow each position.
Space group F-43m (No. 216)
Inequivalent atoms, fractional coordinates:
Ca (0.0000, 0.0000, 0.0000) (multiplicity 4)  4 Pr 3.25, 4 Nd 3.25
Pr (0.2500, 0.2500, 0.7500) (multiplicity 4)  4 Ru 3.25, 4 Ca 3.25
Nd (0.2500, 0.2500, 0.2500) (multiplicity 4)  4 Ru 3.25, 4 Ca 3.25
Ru (0.0000, 0.0000, 0.5000) (multiplicity 4)  4 Nd 3.25, 4 Pr 3.25



No. 18
VASP calculation (PBE-GGA) on crystalline CaPrNd4S8 at its relaxed geometry.

Properties
* ΔE_f (raw): -1.962 eV/atom

abc: 8.3550 8.3550 20.5129
angles: 90.00 90.00 120.00
Closest atoms and distances in Å follow each position.
Space group R3m (No. 160, hexagonal axes)
Inequivalent atoms, fractional coordinates:
Ca (0.0000, 0.0000, 0.0000) (multiplicity 3)  4 S 2.73
Pr (0.0000, 0.0000, 0.6269) (multiplicity 3)  6 S 2.85-2.90
Nd (0.0000, 0.0000, 0.2503) (multiplicity 3)  4 S 2.72-2.73
Nd (0.1692, 0.3383, 0.4578) (multiplicity 9)  6 S 2.83-2.88
S (0.0000, 0.0000, 0.3834) (multiplicity 3)  4 Nd 2.73-2.88
S (0.0000, 0.0000, 0.8667) (multiplicity 3)  1 Ca 2.73, 3 Nd 2.84
S (0.0212, 0.5106, 0.3785) (multiplicity 9)  1 Ca 2.73, 2 Nd 2.83, 1 Pr 2.85
S (0.1770, 0.3540, 0.2051) (multiplicity 9)  3 Nd 2.72-2.88, 1 Pr 2.90



No. 19
VASP calculation (PBE-GGA) on crystalline CaPr3Nd4S8 at its relaxed geometry.

Properties
* ΔE_f (raw): -2.026 eV/atom

abc: 8.1618 8.1618 19.9699
angles: 90.00 90.00 120.00
Closest atoms and distances in Å follow each position.
Space group R-3m (No. 166, hexagonal axes)
Inequivalent atoms, fractional coordinates:
Ca (0.0000, 0.0000, 0.0000) (multiplicity 3)  6 S 2.84
Pr (0.0000, 0.5000, 0.0000) (multiplicity 9)  6 S 2.90
Nd (0.0000, 0.0000, 0.5000) (multiplicity 3)  6 S 2.92
Nd (0.0000, 0.5000, 0.5000) (multiplicity 9)  6 S 2.87
S (0.0000, 0.0000, 0.2489) (multiplicity 6)  3 Nd 2.87, 3 Pr 2.90
S (0.0060, 0.5030, 0.7496) (multiplicity 18)  1 Ca 2.84, 3 Nd 2.87-2.92, 2 Pr 2.90



No. 20
VASP calculation (PBE-GGA) on crystalline CaPr2Nd3S6 at its relaxed geometry.

Properties
* ΔE_f (raw): -2.034 eV/atom

abc: 7.0589 12.2378 7.0465
angles: 90.00 109.42 90.00
Closest atoms and distances in Å follow each position.
Space group C2/m (No. 12)
Inequivalent atoms, fractional coordinates:
Ca (0.0000, 0.0000, 0.0000) (multiplicity 2)  6 S 2.83-2.84
Pr (0.0000, 0.3333, 0.0000) (multiplicity 4)  6 S 2.90
Nd (0.0000, 0.1678, 0.5000) (multiplicity 4)  6 S 2.86-2.92
Nd (0.0000, 0.5000, 0.5000) (multiplicity 2)  6 S 2.87-2.93
S (0.2425, 0.0000, 0.7517) (multiplicity 4)  1 Ca 2.83, 3 Nd 2.88-2.93, 2 Pr 2.90
S (0.2457, 0.1630, 0.2489) (multiplicity 8)  1 Ca 2.84, 3 Nd 2.86-2.92, 2 Pr 2.90